[1]
Entry from Alexandria via LeMat-Bulk: an optimized crystal structure of LaErSb (PBE).

Results
- uncorrected energy (eV/f.u.) = -15.48
- E_form (uncorrected) (eV per formula unit) = -1.9
- crystal system = orthorhombic
- symmetry = No. 63

Cell and atoms, written as POSCAR:
```
LaErSb
1.0
2.960 -4.587 0.000
2.960 4.587 0.000
0.000 0.000 6.685
La Er Sb
2 2 2
Direct
0.160 0.840 0.750 La
0.840 0.160 0.250 La
0.500 0.500 0.000 Er
0.500 0.500 0.500 Er
0.191 0.809 0.250 Sb
0.809 0.191 0.750 Sb
```

***

[2]
Entry from Alexandria via LeMat-Bulk: an optimized crystal structure of La3ErSb2 (PBE).

Results
- uncorrected energy (eV/f.u.) = -32.80
- E_form (uncorrected) (eV per formula unit) = -5.2
- crystal system = orthorhombic
- distance to the lowest polymorph of the same formula (eV per atom) = 0.000
- symmetry = No. 71

Cell and atoms, written as POSCAR:
```
La3ErSb2
1.0
-2.264 2.380 8.852
2.264 -2.380 8.852
2.264 2.380 -8.852
La Er Sb
3 1 2
Direct
0.000 0.000 0.000 La
0.177 0.677 0.500 La
0.823 0.323 0.500 La
0.500 0.500 0.000 Er
0.366 0.866 0.500 Sb
0.634 0.134 0.500 Sb
```

***

[3]
Entry from Alexandria via LeMat-Bulk: an optimized crystal structure of LaEr4Sb5 (PBE).

Results
- uncorrected energy (eV/f.u.) = -54.95
- E_form (uncorrected) (eV per formula unit) = -11.2
- crystal system = orthorhombic
- symmetry = No. 71

Cell and atoms, written as POSCAR:
```
LaEr4Sb5
1.0
-2.204 3.124 11.016
2.204 -3.124 11.016
2.204 3.124 -11.016
La Er Sb
1 4 5
Direct
0.000 0.000 0.000 La
0.203 0.203 0.000 Er
0.399 0.399 0.000 Er
0.601 0.601 0.000 Er
0.797 0.797 0.000 Er
0.106 0.606 0.500 Sb
0.301 0.801 0.500 Sb
0.500 0.000 0.500 Sb
0.699 0.199 0.500 Sb
0.894 0.394 0.500 Sb
```